Record 1
VASP calculation (GGA-PBE) on a relaxed structure of Ac6Sn3O.

spin magnetization	0.685	μB per cell
formation energy from raw total energies	-0.8971	eV/atom

a b c (Å): 12.8743 15.8376 7.7617
angles (deg): 90.00 90.00 90.00
Last column: nearest neighbours and their distance in Å.
Space group Cmc2_1 (No. 36)
Asymmetric unit:
Ac1 0.0000 0.0484 0.0000 (multiplicity 4)  1 O 2.51
Ac2 0.0000 0.2225 0.4230 (multiplicity 4)  1 O 2.47
Ac3 0.1574 0.2631 0.9717 (multiplicity 8)  1 O 2.51
Ac4 0.1604 0.4723 0.4429 (multiplicity 8)  4 Sn 3.31-3.53
Sn1 0.0000 0.3822 0.7330 (multiplicity 4)  7 Ac 3.33-3.50
Sn2 0.1685 0.1067 0.6693 (multiplicity 8)  7 Ac 3.31-3.53
O1 0.0000 0.1977 0.1083 (multiplicity 4)  4 Ac 2.47-2.51



Record 2
VASP calculation (GGA-PBE) on a relaxed structure of Ac3Sn2O.

spin magnetization	0.000	μB per cell
formation energy from raw total energies	-1.3809	eV/atom
energy relative to the lowest polymorph listed for this composition	0	meV/atom

a b c (Å): 9.7534 4.4667 18.9033
angles (deg): 90.00 90.00 90.00
Last column: nearest neighbours and their distance in Å.
Space group Pnma (No. 62)
Asymmetric unit:
Ac1 0.0220 0.2500 0.1078 (multiplicity 4)  2 O 2.54
Ac2 0.1374 0.2500 0.5775 (multiplicity 4)  1 O 2.48
Ac3 0.1778 0.7500 0.2678 (multiplicity 4)  1 O 2.54
Sn1 0.0820 0.7500 0.7157 (multiplicity 4)  7 Ac 3.38-3.49
Sn2 0.2481 0.2500 0.9539 (multiplicity 4)  6 Ac 3.42-3.65
O1 0.1347 0.7500 0.1352 (multiplicity 4)  4 Ac 2.48-2.54



Record 3
VASP calculation (GGA-PBE) on a relaxed structure of Ac3Sn2O.

spin magnetization	0.000	μB per cell
formation energy from raw total energies	-1.2734	eV/atom
energy relative to the lowest polymorph listed for this composition	108	meV/atom

a b c (Å): 11.2591 9.3511 7.2543
angles (deg): 90.00 90.00 90.00
Last column: nearest neighbours and their distance in Å.
Space group Cmcm (No. 63)
Asymmetric unit:
Ac1 0.0000 0.1568 0.2500 (multiplicity 4)  1 O 2.44
Ac2 0.1658 0.5000 0.0000 (multiplicity 8)  2 O 2.71
Sn1 0.1343 0.1883 0.7500 (multiplicity 8)  1 Sn 3.02, 2 Ac 3.38
O1 0.0000 0.4177 0.2500 (multiplicity 4)  5 Ac 2.44-2.71



| no. | VASP energy (eV per atom) | calculated volume (Å³/atom) |
| --- | --- | --- |
| 1 | -5.059 | 39.56 |
| 2 | -5.596 | 34.31 |
| 3 | -5.488 | 31.82 |